(1)
Be3IrBr | PBE | optimized geometry

Computed properties:
For the uncorrected formation energy, the calculation gives 0.4922 eV/atom. Its space-group type is Pm-3m (221).

Cell: 4.372 4.372 4.372 Å, 90.00 90.00 90.00°
Fractional coordinates of all 5 atoms:
Be (0.000, 0.000, 0.500)
Be (0.000, 0.500, 0.000)
Be (0.500, 0.000, 0.000)
Ir (0.000, 0.000, 0.000)
Br (0.500, 0.500, 0.500)

(2)
KScTi | PBE | optimized geometry

Computed properties:
As for the formation energy: 0.4065 eV/atom. Its space-group type is P1 (1).

Cell: 3.300 4.979 12.771 Å, 93.07 95.50 90.01°
Fractional coordinates of all 6 atoms:
K (0.000, 0.000, 0.000)
K (0.362, 0.457, 0.698)
Sc (0.168, 0.538, 0.244)
Sc (0.242, 0.920, 0.453)
Ti (0.674, 0.038, 0.273)
Ti (0.734, 0.420, 0.424)

| no. | magnetization (μB per cell) | VASP energy (eV per atom) |
| --- | --- | --- |
| 1 | 0.00 | -3.85 |
| 2 | 1.50 | -4.70 |